Computed, not measured: UTiCr after structural relaxation at the PBE-GGA level of DFT.

Cell: 5.9925 5.9925 5.9925 Å, 47.47 47.47 47.47°
Last column: nearest neighbours and their distance in Å.
Atoms (fractional coordinates):
U 0.1184 0.1184 0.1184  1 Cr 2.20
U 0.8816 0.8816 0.8816  1 Cr 2.20
Ti 0.4087 0.4087 0.4087  1 Cr 2.42
Ti 0.5913 0.5913 0.5913  1 Cr 2.42
Cr 0.2567 0.2567 0.2567  1 U 2.20, 1 Ti 2.42
Cr 0.7433 0.7433 0.7433  1 U 2.20, 1 Ti 2.42

Computed properties:
Energy relative to the elements in eV/f.u.: 1.322

***

Computed, not measured: TiVCr after structural relaxation at the PBE-GGA level of DFT.

Cell: 4.1778 4.1778 2.7388 Å, 90.00 90.00 120.00°
Last column: nearest neighbours and their distance in Å.
Atoms (fractional coordinates):
Ti 0.0000 0.0000 0.0000  3 Cr 2.58, 3 V 2.65, 2 Ti 2.74
V 0.6667 0.3333 0.6004  3 Cr 2.52, 3 Ti 2.65, 2 V 2.74
Cr 0.3333 0.6667 0.3316  3 V 2.52, 3 Ti 2.58, 2 Cr 2.74

Computed properties:
Polymorph energy (0 for the lowest one) in kJ per mole of atoms: 6.8
Energy relative to the elements in eV/f.u.: 0.091

***

Computed, not measured: TiV5Cr2 after structural relaxation at the PBE-GGA level of DFT.

Cell: 7.2799 7.2799 7.2799 Å, 129.70 129.70 73.88°
Last column: nearest neighbours and their distance in Å.
Atoms (fractional coordinates):
Ti 0.2500 0.2500 0.0000  10 V 2.60-2.91
Ti 0.7500 0.7500 0.0000  10 V 2.60-2.91
V 0.0000 0.0000 0.0000  4 Cr 2.34
V 0.0069 0.5069 0.8153  3 Cr 2.41-2.60, 2 Ti 2.60
V 0.1917 0.0069 0.5000  3 Cr 2.41-2.60, 2 Ti 2.60
V 0.3083 0.8083 0.8153  3 Cr 2.41-2.60, 2 Ti 2.60
V 0.4931 0.3083 0.5000  3 Cr 2.41-2.60, 2 Ti 2.60
V 0.5000 0.5000 0.0000  4 Cr 2.34
V 0.5069 0.6917 0.5000  3 Cr 2.41-2.60, 2 Ti 2.60
V 0.6917 0.1917 0.1847  3 Cr 2.41-2.60, 2 Ti 2.60
V 0.8083 0.9931 0.5000  3 Cr 2.41-2.60, 2 Ti 2.60
V 0.9931 0.4931 0.1847  3 Cr 2.41-2.60, 2 Ti 2.60
Cr 0.1536 0.3464 0.5000  8 V 2.34-2.60
Cr 0.3464 0.8464 0.1928  8 V 2.34-2.60
Cr 0.6536 0.1536 0.8072  8 V 2.34-2.60
Cr 0.8464 0.6536 0.5000  8 V 2.34-2.60

Computed properties:
Energy relative to the elements in eV/f.u.: 2.801

***

Computed, not measured: TiV2Cr2 after structural relaxation at the PBE-GGA level of DFT.

Cell: 11.9958 11.9958 11.9958 Å, 163.22 163.22 23.82°
Last column: nearest neighbours and their distance in Å.
Atoms (fractional coordinates):
Ti 0.1191 0.1191 0.0000  4 Cr 2.70, 4 V 2.82
Ti 0.8809 0.8809 0.0000  4 Cr 2.70, 4 V 2.82
V 0.0000 0.5000 0.5000  4 Cr 2.45, 4 V 2.48
V 0.3235 0.3235 0.0000  5 Cr 2.43-2.46
V 0.5000 0.0000 0.5000  4 Cr 2.45, 4 V 2.48
V 0.6765 0.6765 0.0000  5 Cr 2.43-2.46
Cr 0.2500 0.7500 0.5000  4 V 2.46, 4 Cr 2.48
Cr 0.4271 0.4271 0.0000  5 V 2.43-2.45, 4 Ti 2.70
Cr 0.5729 0.5729 0.0000  5 V 2.43-2.45, 4 Ti 2.70
Cr 0.7500 0.2500 0.5000  4 V 2.46, 4 Cr 2.48

Computed properties:
Polymorph energy (0 for the lowest one) in kJ per mole of atoms: 45.9
Energy relative to the elements in eV/f.u.: 2.343

***

Computed, not measured: TiVCr after structural relaxation at the PBE-GGA level of DFT.

Cell: 6.4538 6.4538 4.4022 Å, 90.00 90.00 152.93°
Last column: nearest neighbours and their distance in Å.
Atoms (fractional coordinates):
Ti 0.0799 0.9201 0.7500  6 Cr 2.67-2.68, 4 V 2.72-2.98, 2 Ti 2.98
Ti 0.9201 0.0799 0.2500  6 Cr 2.67-2.68, 4 V 2.72-2.98, 2 Ti 2.98
V 0.2396 0.7604 0.2500  2 Cr 2.35
V 0.7604 0.2396 0.7500  2 Cr 2.35
Cr 0.4042 0.5958 0.7500  2 V 2.35
Cr 0.5958 0.4042 0.2500  2 V 2.35

Computed properties:
Polymorph energy (0 for the lowest one) in kJ per mole of atoms: 3.4
Energy relative to the elements in eV/f.u.: -0.014

***

Computed, not measured: TiV2Cr after structural relaxation at the PBE-GGA level of DFT.

Cell: 5.0018 5.0018 4.3207 Å, 115.50 115.50 34.75°
Last column: nearest neighbours and their distance in Å.
Atoms (fractional coordinates):
Ti 0.0000 0.0000 0.0000  4 Cr 2.63, 8 V 2.73-2.93
V 0.2319 0.2319 0.7317  2 Cr 2.48, 4 V 2.64-2.65, 2 Ti 2.73
V 0.7681 0.7681 0.2683  2 Cr 2.48, 4 V 2.64-2.65, 2 Ti 2.73
Cr 0.5000 0.5000 0.5000  4 V 2.48, 4 Ti 2.63

Computed properties:
Polymorph energy (0 for the lowest one) in kJ per mole of atoms: 0.0
Energy relative to the elements in eV/f.u.: -0.030

***

Computed, not measured: TiV3Cr after structural relaxation at the PBE-GGA level of DFT.

Cell: 6.3292 6.3292 4.7875 Å, 90.00 90.00 130.85°
Last column: nearest neighbours and their distance in Å.
Atoms (fractional coordinates):
Ti 0.0792 0.9208 0.7500  8 V 2.84-2.93, 2 Ti 3.01, 4 Cr 3.03
Ti 0.9208 0.0792 0.2500  8 V 2.84-2.93, 2 Ti 3.01, 4 Cr 3.03
V 0.0981 0.3965 0.7500  2 V 2.33-2.60, 2 Cr 2.48
V 0.3167 0.6833 0.2500  2 V 2.33, 2 Cr 2.43
V 0.3965 0.0981 0.2500  2 V 2.33-2.60, 2 Cr 2.48
V 0.6035 0.9019 0.7500  2 V 2.33-2.60, 2 Cr 2.48
V 0.6833 0.3167 0.7500  2 V 2.33, 2 Cr 2.43
V 0.9019 0.6035 0.2500  2 V 2.33-2.60, 2 Cr 2.48
Cr 0.5000 0.5000 0.0000  2 Cr 2.39, 6 V 2.43-2.48
Cr 0.5000 0.5000 0.5000  2 Cr 2.39, 6 V 2.43-2.48

Computed properties:
Polymorph energy (0 for the lowest one) in kJ per mole of atoms: 8.2
Energy relative to the elements in eV/f.u.: 1.064

***

Computed, not measured: TiV2Cr after structural relaxation at the PBE-GGA level of DFT.

Cell: 5.1545 5.1545 2.6404 Å, 91.30 91.30 54.87°
Last column: nearest neighbours and their distance in Å.
Atoms (fractional coordinates):
Ti 0.0000 0.0000 0.0000  2 Cr 2.37, 2 Ti 2.64, 2 V 2.64
V 0.2654 0.2654 0.6286  1 Cr 2.34, 2 V 2.48
V 0.7346 0.7346 0.3714  1 Cr 2.34, 2 V 2.48
Cr 0.5000 0.5000 0.0000  2 V 2.34, 2 Ti 2.37

Computed properties:
Polymorph energy (0 for the lowest one) in kJ per mole of atoms: 44.7
Energy relative to the elements in eV/f.u.: 1.825

***

Number 1: VASP energy -27.48 eV/f.u.. Number 2: VASP energy -26.55 eV/f.u.. Number 3: VASP energy -69.93 eV/f.u.. Number 4: VASP energy -43.04 eV/f.u.. Number 5: VASP energy -26.65 eV/f.u.. Number 6: VASP energy -35.79 eV/f.u.. Number 7: VASP energy -43.81 eV/f.u.. Number 8: VASP energy -33.93 eV/f.u..